Material: TaS2N
Method: DFT, PBE
State: relaxed

Calculated values
**M_tot**: 0.0 μB per cell
**DFT total energy**: -28.0 eV per cell
**Space-group type**: R-3m, No. 166
**Raw formation energy**: 11 kJ per mole of atoms
**D(E_F)**: 0.11 states/eV/cell

The structure in CIF format:
```
data_TaS2N
_chemical_formula_sum 'Ta1 S2 N1'
_space_group_name_H-M_alt 'P 1'
_space_group_IT_number 1
_cell_length_a 6.5481
_cell_length_b 6.5481
_cell_length_c 6.5481
_cell_angle_alpha 29.77
_cell_angle_beta 29.77
_cell_angle_gamma 29.77
loop_
_space_group_symop_operation_xyz
'x,y,z'
loop_
_atom_site_label
_atom_site_fract_x
_atom_site_fract_y
_atom_site_fract_z
Ta1 0.0000 0.0000 0.0000
S1 0.4159 0.4159 0.4159
S2 0.5841 0.5841 0.5841
N1 0.5000 0.5000 0.5000
```

***

Material: TaSN3
Method: DFT, PBE
State: relaxed

Calculated values
**M_tot**: 0.0 μB per cell
**DFT total energy**: -35.1 eV per cell
**Space-group type**: Pm-3m, No. 221
**Raw formation energy**: 114 kJ per mole of atoms
**D(E_F)**: 2.24 states/eV/cell

The structure in CIF format:
```
data_TaSN3
_chemical_formula_sum 'Ta1 S1 N3'
_space_group_name_H-M_alt 'P 1'
_space_group_IT_number 1
_cell_length_a 3.5560
_cell_length_b 3.5560
_cell_length_c 3.5560
_cell_angle_alpha 90.00
_cell_angle_beta 90.00
_cell_angle_gamma 90.00
loop_
_space_group_symop_operation_xyz
'x,y,z'
loop_
_atom_site_label
_atom_site_fract_x
_atom_site_fract_y
_atom_site_fract_z
Ta1 0.0000 0.0000 0.0000
S1 0.5000 0.5000 0.5000
N1 0.0000 0.5000 0.5000
N2 0.5000 0.0000 0.5000
N3 0.5000 0.5000 0.0000
```

***

Material: Ta2SN
Method: DFT, PBE
State: relaxed

Calculated values
**M_tot**: 0.0 μB per cell
**Relative energy among the computed polymorphs**: 0.3103 eV/atom
**DFT total energy**: -36.5 eV per cell
**Space-group type**: Fm-3m, No. 225
**Raw formation energy**: -7 kJ per mole of atoms
**D(E_F)**: 4.41 states/eV/cell

The structure in CIF format:
```
data_Ta2SN
_chemical_formula_sum 'Ta2 S1 N1'
_space_group_name_H-M_alt 'P 1'
_space_group_IT_number 1
_cell_length_a 4.1678
_cell_length_b 4.1678
_cell_length_c 4.1678
_cell_angle_alpha 60.00
_cell_angle_beta 60.00
_cell_angle_gamma 60.00
loop_
_space_group_symop_operation_xyz
'x,y,z'
loop_
_atom_site_label
_atom_site_fract_x
_atom_site_fract_y
_atom_site_fract_z
Ta1 0.2500 0.2500 0.2500
Ta2 0.7500 0.7500 0.7500
S1 0.0000 0.0000 0.0000
N1 0.5000 0.5000 0.5000
```

***

Material: TaS2N
Method: DFT, PBE
State: relaxed

Calculated values
**M_tot**: 5.8 μB per cell
**DFT total energy**: -52.8 eV per cell
**Space-group type**: P6_3mc, No. 186
**Raw formation energy**: 49 kJ per mole of atoms
**D(E_F)**: 5.67 states/eV/cell

The structure in CIF format:
```
data_TaS2N
_chemical_formula_sum 'Ta2 S4 N2'
_space_group_name_H-M_alt 'P 1'
_space_group_IT_number 1
_cell_length_a 3.3499
_cell_length_b 3.3499
_cell_length_c 17.6401
_cell_angle_alpha 90.00
_cell_angle_beta 90.00
_cell_angle_gamma 120.00
loop_
_space_group_symop_operation_xyz
'x,y,z'
loop_
_atom_site_label
_atom_site_fract_x
_atom_site_fract_y
_atom_site_fract_z
Ta1 0.3333 0.6667 0.0000
Ta2 0.6667 0.3333 0.5000
S1 0.0000 0.0000 0.0885
S2 0.0000 0.0000 0.4115
S3 0.0000 0.0000 0.5885
S4 0.0000 0.0000 0.9115
N1 0.3333 0.6667 0.7501
N2 0.6667 0.3333 0.2501
```

***

Material: TaS2N2
Method: DFT, PBE
State: relaxed

Calculated values
**M_tot**: 0.0 μB per cell
**Relative energy among the computed polymorphs**: 0.6959 eV/atom
**DFT total energy**: -30.3 eV per cell
**Space-group type**: P4/mmm, No. 123
**Raw formation energy**: 125 kJ per mole of atoms
**D(E_F)**: 1.90 states/eV/cell

The structure in CIF format:
```
data_TaS2N2
_chemical_formula_sum 'Ta1 S2 N2'
_space_group_name_H-M_alt 'P 1'
_space_group_IT_number 1
_cell_length_a 3.8004
_cell_length_b 3.8004
_cell_length_c 3.9960
_cell_angle_alpha 90.00
_cell_angle_beta 90.00
_cell_angle_gamma 90.00
loop_
_space_group_symop_operation_xyz
'x,y,z'
loop_
_atom_site_label
_atom_site_fract_x
_atom_site_fract_y
_atom_site_fract_z
Ta1 0.0000 0.0000 0.0000
S1 0.0000 0.5000 0.5000
S2 0.5000 0.0000 0.5000
N1 0.5000 0.5000 0.0000
N2 0.5000 0.5000 0.5000
```

***

Material: TaS2N2
Method: DFT, PBE
State: relaxed

Calculated values
**M_tot**: 0.7 μB per cell
**Relative energy among the computed polymorphs**: 0.0000 eV/atom
**DFT total energy**: -33.8 eV per cell
**Space-group type**: P4/mmm, No. 123
**Raw formation energy**: 58 kJ per mole of atoms
**D(E_F)**: 3.77 states/eV/cell

The structure in CIF format:
```
data_TaS2N2
_chemical_formula_sum 'Ta1 S2 N2'
_space_group_name_H-M_alt 'P 1'
_space_group_IT_number 1
_cell_length_a 3.9344
_cell_length_b 3.9344
_cell_length_c 5.3105
_cell_angle_alpha 90.00
_cell_angle_beta 90.00
_cell_angle_gamma 90.00
loop_
_space_group_symop_operation_xyz
'x,y,z'
loop_
_atom_site_label
_atom_site_fract_x
_atom_site_fract_y
_atom_site_fract_z
Ta1 0.0000 0.0000 0.0000
S1 0.0000 0.0000 0.5000
S2 0.5000 0.5000 0.5000
N1 0.0000 0.5000 0.0000
N2 0.5000 0.0000 0.0000
```

***

Material: TaS2N2
Method: DFT, PBE
State: relaxed

Calculated values
**M_tot**: 2.9 μB per cell
**Relative energy among the computed polymorphs**: 0.4718 eV/atom
**DFT total energy**: -31.4 eV per cell
**Space-group type**: P4/mmm, No. 123
**Raw formation energy**: 103 kJ per mole of atoms
**D(E_F)**: 5.16 states/eV/cell

The structure in CIF format:
```
data_TaS2N2
_chemical_formula_sum 'Ta1 S2 N2'
_space_group_name_H-M_alt 'P 1'
_space_group_IT_number 1
_cell_length_a 4.8433
_cell_length_b 4.8433
_cell_length_c 4.0218
_cell_angle_alpha 90.00
_cell_angle_beta 90.00
_cell_angle_gamma 90.00
loop_
_space_group_symop_operation_xyz
'x,y,z'
loop_
_atom_site_label
_atom_site_fract_x
_atom_site_fract_y
_atom_site_fract_z
Ta1 0.0000 0.0000 0.0000
S1 0.0000 0.5000 0.0000
S2 0.5000 0.0000 0.0000
N1 0.0000 0.0000 0.5000
N2 0.5000 0.5000 0.5000
```

***

Material: TaSN3
Method: DFT, PBE
State: relaxed

Calculated values
**M_tot**: 0.0 μB per cell
**DFT total energy**: -35.2 eV per cell
**Space-group type**: Pm-3m, No. 221
**Raw formation energy**: 110 kJ per mole of atoms
**D(E_F)**: 5.38 states/eV/cell

The structure in CIF format:
```
data_TaSN3
_chemical_formula_sum 'Ta1 S1 N3'
_space_group_name_H-M_alt 'P 1'
_space_group_IT_number 1
_cell_length_a 4.0675
_cell_length_b 4.0675
_cell_length_c 4.0675
_cell_angle_alpha 90.00
_cell_angle_beta 90.00
_cell_angle_gamma 90.00
loop_
_space_group_symop_operation_xyz
'x,y,z'
loop_
_atom_site_label
_atom_site_fract_x
_atom_site_fract_y
_atom_site_fract_z
Ta1 0.0000 0.0000 0.0000
S1 0.5000 0.5000 0.5000
N1 0.0000 0.0000 0.5000
N2 0.0000 0.5000 0.0000
N3 0.5000 0.0000 0.0000
```

***

Material: TaS2N
Method: DFT, PBE
State: relaxed

Calculated values
**M_tot**: 0.0 μB per cell
**DFT total energy**: -50.7 eV per cell
**Space-group type**: I-42d, No. 122
**Raw formation energy**: 75 kJ per mole of atoms
**D(E_F)**: 2.94 states/eV/cell

The structure in CIF format:
```
data_TaS2N
_chemical_formula_sum 'Ta2 S4 N2'
_space_group_name_H-M_alt 'P 1'
_space_group_IT_number 1
_cell_length_a 6.2383
_cell_length_b 6.2383
_cell_length_c 6.2383
_cell_angle_alpha 130.92
_cell_angle_beta 130.92
_cell_angle_gamma 71.95
loop_
_space_group_symop_operation_xyz
'x,y,z'
loop_
_atom_site_label
_atom_site_fract_x
_atom_site_fract_y
_atom_site_fract_z
Ta1 0.0000 0.0000 0.0000
Ta2 0.7500 0.2500 0.5000
S1 0.1646 0.6250 0.0396
S2 0.3750 0.4146 0.5396
S3 0.5854 0.1250 0.9604
S4 0.8750 0.8354 0.4604
N1 0.2500 0.7500 0.5000
N2 0.5000 0.5000 0.0000
```

***

Material: TaS3N
Method: DFT, PBE
State: relaxed

Calculated values
**M_tot**: 3.0 μB per cell
**Relative energy among the computed polymorphs**: 0.0000 eV/atom
**DFT total energy**: -29.0 eV per cell
**Space-group type**: Pm-3m, No. 221
**Raw formation energy**: 69 kJ per mole of atoms
**D(E_F)**: 2.27 states/eV/cell

The structure in CIF format:
```
data_TaS3N
_chemical_formula_sum 'Ta1 S3 N1'
_space_group_name_H-M_alt 'P 1'
_space_group_IT_number 1
_cell_length_a 4.7881
_cell_length_b 4.7881
_cell_length_c 4.7881
_cell_angle_alpha 90.00
_cell_angle_beta 90.00
_cell_angle_gamma 90.00
loop_
_space_group_symop_operation_xyz
'x,y,z'
loop_
_atom_site_label
_atom_site_fract_x
_atom_site_fract_y
_atom_site_fract_z
Ta1 0.0000 0.0000 0.0000
S1 0.0000 0.0000 0.5000
S2 0.0000 0.5000 0.0000
S3 0.5000 0.0000 0.0000
N1 0.5000 0.5000 0.5000
```

***

Material: TaS2N2
Method: DFT, PBE
State: relaxed

Calculated values
**M_tot**: 0.0 μB per cell
**Relative energy among the computed polymorphs**: 0.6866 eV/atom
**DFT total energy**: -30.3 eV per cell
**Space-group type**: P4/mmm, No. 123
**Raw formation energy**: 124 kJ per mole of atoms
**D(E_F)**: 4.31 states/eV/cell

The structure in CIF format:
```
data_TaS2N2
_chemical_formula_sum 'Ta1 S2 N2'
_space_group_name_H-M_alt 'P 1'
_space_group_IT_number 1
_cell_length_a 3.6544
_cell_length_b 3.6544
_cell_length_c 4.3165
_cell_angle_alpha 90.00
_cell_angle_beta 90.00
_cell_angle_gamma 90.00
loop_
_space_group_symop_operation_xyz
'x,y,z'
loop_
_atom_site_label
_atom_site_fract_x
_atom_site_fract_y
_atom_site_fract_z
Ta1 0.0000 0.0000 0.0000
S1 0.5000 0.5000 0.0000
S2 0.5000 0.5000 0.5000
N1 0.0000 0.5000 0.5000
N2 0.5000 0.0000 0.5000
```

***

Material: Ta2SN
Method: DFT, PBE
State: relaxed

Calculated values
**M_tot**: 0.0 μB per cell
**Relative energy among the computed polymorphs**: 0.0000 eV/atom
**DFT total energy**: -75.4 eV per cell
**Space-group type**: I-42d, No. 122
**Raw formation energy**: -37 kJ per mole of atoms
**D(E_F)**: 6.44 states/eV/cell

The structure in CIF format:
```
data_Ta2SN
_chemical_formula_sum 'Ta4 S2 N2'
_space_group_name_H-M_alt 'P 1'
_space_group_IT_number 1
_cell_length_a 6.7370
_cell_length_b 6.7370
_cell_length_c 6.7370
_cell_angle_alpha 138.28
_cell_angle_beta 138.28
_cell_angle_gamma 60.47
loop_
_space_group_symop_operation_xyz
'x,y,z'
loop_
_atom_site_label
_atom_site_fract_x
_atom_site_fract_y
_atom_site_fract_z
Ta1 0.0487 0.6250 0.9237
Ta2 0.3750 0.2987 0.4237
Ta3 0.7013 0.1250 0.0763
Ta4 0.8750 0.9513 0.5763
S1 0.2500 0.7500 0.5000
S2 0.5000 0.5000 0.0000
N1 0.0000 0.0000 0.0000
N2 0.7500 0.2500 0.5000
```

***

| no. | calculated volume (Å³ per atom) |
| --- | --- |
| 1 | 15.32 |
| 2 | 8.99 |
| 3 | 12.80 |
| 4 | 21.43 |
| 5 | 11.54 |
| 6 | 16.44 |
| 7 | 18.87 |
| 8 | 13.46 |
| 9 | 16.95 |
| 10 | 21.95 |
| 11 | 11.53 |
| 12 | 16.75 |